(1)
CaAsI2O (PBE, optimized geometry); N(E_F) = 2.271 states/eV/f.u.; space group = P4/mmm (123); energy relative to the lowest polymorph listed for this composition = 0.000 eV/atom; uncorrected formation energy = -0.65 eV per atom
1.0
6.029 0.000 0.000
0.000 6.029 0.000
0.000 0.000 3.902
I Ca O As
2 1 1 1
Direct
0.000 0.500 0.000
0.500 0.000 0.000
0.500 0.500 0.500
0.000 0.000 0.500
0.000 0.000 0.000



(2)
Al4Sb3 (PBE, optimized geometry); N(E_F) = 4.487 states/eV/f.u.; space group = P6/mmm (191); energy relative to the lowest polymorph listed for this composition = 0.211 eV/atom; uncorrected formation energy = 0.40 eV per atom
1.0
-5.438 -2.578 2.021
5.158 -3.630 -0.722
1.303 0.921 4.682
Sb Al
3 4
Direct
0.500 0.000 0.000
0.000 0.500 0.000
0.500 0.500 0.000
0.000 0.000 0.247
0.000 0.000 0.753
0.667 0.333 0.500
0.333 0.667 0.500